Record 1
First-principles (PBE) data for Nd12Ni6Pd after structural relaxation, as listed in Alexandria via LeMat-Bulk.

Fermi-level density of states   19.49 states/eV/cell
Calculated volume   492 Å³/f.u.
Formation energy from the elements   -6.067 kcal/mol of atoms

```
data_Nd12Ni6Pd
_cell_length_a 8.6158
_cell_length_b 8.6158
_cell_length_c 8.6158
_cell_angle_alpha 109.47
_cell_angle_beta 109.47
_cell_angle_gamma 109.47
_space_group_name_H-M_alt 'P 1'
_space_group_IT_number 1
loop_
_space_group_symop_operation_xyz
'x,y,z'
loop_
_atom_site_label
_atom_site_type_symbol
_atom_site_fract_x
_atom_site_fract_y
_atom_site_fract_z
Nd1 Nd 0.1171 0.3024 0.8148
Nd2 Nd 0.1852 0.4876 0.3024
Nd3 Nd 0.1852 0.8829 0.6976
Nd4 Nd 0.3024 0.1852 0.4876
Nd5 Nd 0.3024 0.8148 0.1171
Nd6 Nd 0.4876 0.3024 0.1852
Nd7 Nd 0.5124 0.6976 0.8148
Nd8 Nd 0.6976 0.1852 0.8829
Nd9 Nd 0.6976 0.8148 0.5124
Nd10 Nd 0.8148 0.1171 0.3024
Nd11 Nd 0.8148 0.5124 0.6976
Nd12 Nd 0.8829 0.6976 0.1852
Ni1 Ni 0.1233 0.5000 0.6233
Ni2 Ni 0.3767 0.8767 0.5000
Ni3 Ni 0.5000 0.3767 0.8767
Ni4 Ni 0.5000 0.6233 0.1233
Ni5 Ni 0.6233 0.1233 0.5000
Ni6 Ni 0.8767 0.5000 0.3767
Pd1 Pd 0.0000 0.0000 0.0000
```

=====

Record 2
First-principles (PBE) data for NdNiPd after structural relaxation, as listed in Alexandria via LeMat-Bulk.

Fermi-level density of states   4.53 states/eV/cell
Calculated volume   58 Å³/f.u.
Formation energy from the elements   -6.935 kcal/mol of atoms

```
data_NdNiPd
_cell_length_a 3.5382
_cell_length_b 3.5382
_cell_length_c 9.2085
_cell_angle_alpha 90.00
_cell_angle_beta 90.00
_cell_angle_gamma 90.00
_space_group_name_H-M_alt 'P 1'
_space_group_IT_number 1
loop_
_space_group_symop_operation_xyz
'x,y,z'
loop_
_atom_site_label
_atom_site_type_symbol
_atom_site_fract_x
_atom_site_fract_y
_atom_site_fract_z
Nd1 Nd 0.0000 0.0000 0.0000
Nd2 Nd 0.5000 0.5000 0.5000
Ni1 Ni 0.0000 0.0000 0.3235
Ni2 Ni 0.5000 0.5000 0.8235
Pd1 Pd 0.0000 0.0000 0.6854
Pd2 Pd 0.5000 0.5000 0.1854
```

=====

Record 3
First-principles (PBE) data for Nd6Ni2Pd after structural relaxation, as listed in Alexandria via LeMat-Bulk.

Fermi-level density of states   15.87 states/eV/cell
Calculated volume   241 Å³/f.u.
Formation energy from the elements   -7.042 kcal/mol of atoms

```
data_Nd6Ni2Pd
_cell_length_a 8.5655
_cell_length_b 8.5655
_cell_length_c 8.5655
_cell_angle_alpha 113.97
_cell_angle_beta 107.97
_cell_angle_gamma 106.57
_space_group_name_H-M_alt 'P 1'
_space_group_IT_number 1
loop_
_space_group_symop_operation_xyz
'x,y,z'
loop_
_atom_site_label
_atom_site_type_symbol
_atom_site_fract_x
_atom_site_fract_y
_atom_site_fract_z
Nd1 Nd 0.0143 0.2131 0.8013
Nd2 Nd 0.1774 0.2998 0.4772
Nd3 Nd 0.1774 0.7002 0.8777
Nd4 Nd 0.3296 0.0374 0.7078
Nd5 Nd 0.3296 0.6218 0.2922
Nd6 Nd 0.4118 0.2131 0.1987
Nd7 Nd 0.5882 0.7869 0.8013
Nd8 Nd 0.6704 0.3782 0.7078
Nd9 Nd 0.6704 0.9626 0.2922
Nd10 Nd 0.8226 0.2998 0.1223
Nd11 Nd 0.8226 0.7002 0.5228
Nd12 Nd 0.9857 0.7869 0.1987
Ni1 Ni 0.1302 0.6302 0.5000
Ni2 Ni 0.3689 0.0000 0.3689
Ni3 Ni 0.6311 0.0000 0.6311
Ni4 Ni 0.8698 0.3698 0.5000
Pd1 Pd 0.0000 0.0000 0.0000
Pd2 Pd 0.5000 0.5000 0.0000
```

=====

Record 4
First-principles (PBE) data for NdNiPd after structural relaxation, as listed in Alexandria via LeMat-Bulk.

Fermi-level density of states   11.48 states/eV/cell
Calculated volume   61 Å³/f.u.
Formation energy from the elements   -11.698 kcal/mol of atoms

```
data_NdNiPd
_cell_length_a 4.2302
_cell_length_b 7.5509
_cell_length_c 7.6959
_cell_angle_alpha 90.00
_cell_angle_beta 90.00
_cell_angle_gamma 90.00
_space_group_name_H-M_alt 'P 1'
_space_group_IT_number 1
loop_
_space_group_symop_operation_xyz
'x,y,z'
loop_
_atom_site_label
_atom_site_type_symbol
_atom_site_fract_x
_atom_site_fract_y
_atom_site_fract_z
Nd1 Nd 0.0000 0.0000 0.2490
Nd2 Nd 0.0000 0.0000 0.7510
Nd3 Nd 0.5000 0.5000 0.2510
Nd4 Nd 0.5000 0.5000 0.7490
Ni1 Ni 0.0000 0.3485 0.5000
Ni2 Ni 0.0000 0.6515 0.5000
Ni3 Ni 0.5000 0.1515 0.0000
Ni4 Ni 0.5000 0.8485 0.0000
Pd1 Pd 0.0000 0.3230 0.0000
Pd2 Pd 0.0000 0.6770 0.0000
Pd3 Pd 0.5000 0.1770 0.5000
Pd4 Pd 0.5000 0.8230 0.5000
```

=====

Record 5
First-principles (PBE) data for Nd3NiPd after structural relaxation, as listed in Alexandria via LeMat-Bulk.

Fermi-level density of states   18.62 states/eV/cell
Calculated volume   132 Å³/f.u.
Formation energy from the elements   -10.043 kcal/mol of atoms

```
data_Nd3NiPd
_cell_length_a 8.9198
_cell_length_b 7.4292
_cell_length_c 8.2319
_cell_angle_alpha 90.00
_cell_angle_beta 104.46
_cell_angle_gamma 90.00
_space_group_name_H-M_alt 'P 1'
_space_group_IT_number 1
loop_
_space_group_symop_operation_xyz
'x,y,z'
loop_
_atom_site_label
_atom_site_type_symbol
_atom_site_fract_x
_atom_site_fract_y
_atom_site_fract_z
Nd1 Nd 0.0499 0.0119 0.2186
Nd2 Nd 0.0499 0.4881 0.7186
Nd3 Nd 0.2809 0.6512 0.1127
Nd4 Nd 0.2809 0.8488 0.6127
Nd5 Nd 0.3479 0.1824 0.9973
Nd6 Nd 0.3479 0.3176 0.4973
Nd7 Nd 0.6521 0.6824 0.5027
Nd8 Nd 0.6521 0.8176 0.0027
Nd9 Nd 0.7191 0.1512 0.3873
Nd10 Nd 0.7191 0.3488 0.8873
Nd11 Nd 0.9501 0.5119 0.2814
Nd12 Nd 0.9501 0.9881 0.7814
Ni1 Ni 0.0601 0.1694 0.5281
Ni2 Ni 0.0601 0.3306 0.0281
Ni3 Ni 0.9399 0.6694 0.9719
Ni4 Ni 0.9399 0.8306 0.4719
Pd1 Pd 0.4154 0.5362 0.8212
Pd2 Pd 0.4154 0.9638 0.3212
Pd3 Pd 0.5846 0.0362 0.6788
Pd4 Pd 0.5846 0.4638 0.1788
```

=====

Record 6
First-principles (PBE) data for Nd12Ni6Pd after structural relaxation, as listed in Alexandria via LeMat-Bulk.

Fermi-level density of states   23.43 states/eV/cell
Calculated volume   545 Å³/f.u.
Formation energy from the elements   -3.287 kcal/mol of atoms

```
data_Nd12Ni6Pd
_cell_length_a 8.2692
_cell_length_b 8.2692
_cell_length_c 8.2692
_cell_angle_alpha 98.54
_cell_angle_beta 98.54
_cell_angle_gamma 98.54
_space_group_name_H-M_alt 'P 1'
_space_group_IT_number 1
loop_
_space_group_symop_operation_xyz
'x,y,z'
loop_
_atom_site_label
_atom_site_type_symbol
_atom_site_fract_x
_atom_site_fract_y
_atom_site_fract_z
Nd1 Nd 0.0622 0.9073 0.6724
Nd2 Nd 0.0927 0.3276 0.9378
Nd3 Nd 0.1827 0.5705 0.4114
Nd4 Nd 0.3276 0.9378 0.0927
Nd5 Nd 0.4114 0.1827 0.5705
Nd6 Nd 0.4295 0.5886 0.8173
Nd7 Nd 0.5705 0.4114 0.1827
Nd8 Nd 0.5886 0.8173 0.4295
Nd9 Nd 0.6724 0.0622 0.9073
Nd10 Nd 0.8173 0.4295 0.5886
Nd11 Nd 0.9073 0.6724 0.0622
Nd12 Nd 0.9378 0.0927 0.3276
Ni1 Ni 0.1282 0.3093 0.6098
Ni2 Ni 0.3093 0.6098 0.1282
Ni3 Ni 0.3902 0.8718 0.6907
Ni4 Ni 0.6098 0.1282 0.3093
Ni5 Ni 0.6907 0.3902 0.8718
Ni6 Ni 0.8718 0.6907 0.3902
Pd1 Pd 0.0000 0.0000 0.0000
```

=====

Record 7
First-principles (PBE) data for Nd2NiPd after structural relaxation, as listed in Alexandria via LeMat-Bulk.

Fermi-level density of states   4.10 states/eV/cell
Calculated volume   90 Å³/f.u.
Formation energy from the elements   -10.977 kcal/mol of atoms

```
data_Nd2NiPd
_cell_length_a 3.5524
_cell_length_b 3.5524
_cell_length_c 7.1665
_cell_angle_alpha 90.00
_cell_angle_beta 90.00
_cell_angle_gamma 90.00
_space_group_name_H-M_alt 'P 1'
_space_group_IT_number 1
loop_
_space_group_symop_operation_xyz
'x,y,z'
loop_
_atom_site_label
_atom_site_type_symbol
_atom_site_fract_x
_atom_site_fract_y
_atom_site_fract_z
Nd1 Nd 0.0000 0.0000 0.2402
Nd2 Nd 0.0000 0.0000 0.7598
Ni1 Ni 0.5000 0.5000 0.0000
Pd1 Pd 0.5000 0.5000 0.5000
```

=====

Record 8
First-principles (PBE) data for NdNiPd2 after structural relaxation, as listed in Alexandria via LeMat-Bulk.

Fermi-level density of states   5.48 states/eV/cell
Calculated volume   71 Å³/f.u.
Formation energy from the elements   -11.611 kcal/mol of atoms

```
data_NdNiPd2
_cell_length_a 4.1386
_cell_length_b 4.1386
_cell_length_c 4.1227
_cell_angle_alpha 90.00
_cell_angle_beta 90.00
_cell_angle_gamma 90.00
_space_group_name_H-M_alt 'P 1'
_space_group_IT_number 1
loop_
_space_group_symop_operation_xyz
'x,y,z'
loop_
_atom_site_label
_atom_site_type_symbol
_atom_site_fract_x
_atom_site_fract_y
_atom_site_fract_z
Nd1 Nd 0.0000 0.0000 0.0000
Ni1 Ni 0.5000 0.5000 0.0000
Pd1 Pd 0.0000 0.5000 0.5000
Pd2 Pd 0.5000 0.0000 0.5000
```

=====

Record 9
First-principles (PBE) data for Nd2Ni15Pd2 after structural relaxation, as listed in Alexandria via LeMat-Bulk.

Fermi-level density of states   25.34 states/eV/cell
Calculated volume   254 Å³/f.u.
Formation energy from the elements   -4.167 kcal/mol of atoms

```
data_Nd2Ni15Pd2
_cell_length_a 6.3738
_cell_length_b 6.3738
_cell_length_c 6.3738
_cell_angle_alpha 83.44
_cell_angle_beta 83.44
_cell_angle_gamma 83.44
_space_group_name_H-M_alt 'P 1'
_space_group_IT_number 1
loop_
_space_group_symop_operation_xyz
'x,y,z'
loop_
_atom_site_label
_atom_site_type_symbol
_atom_site_fract_x
_atom_site_fract_y
_atom_site_fract_z
Nd1 Nd 0.1562 0.1562 0.1562
Nd2 Nd 0.8438 0.8438 0.8438
Ni1 Ni 0.0000 0.5000 0.5000
Ni2 Ni 0.1533 0.1533 0.6580
Ni3 Ni 0.1533 0.6580 0.1533
Ni4 Ni 0.2054 0.5000 0.7946
Ni5 Ni 0.2054 0.7946 0.5000
Ni6 Ni 0.3420 0.8467 0.8467
Ni7 Ni 0.5000 0.0000 0.5000
Ni8 Ni 0.5000 0.2054 0.7946
Ni9 Ni 0.5000 0.5000 0.0000
Ni10 Ni 0.5000 0.7946 0.2054
Ni11 Ni 0.6580 0.1533 0.1533
Ni12 Ni 0.7946 0.2054 0.5000
Ni13 Ni 0.7946 0.5000 0.2054
Ni14 Ni 0.8467 0.3420 0.8467
Ni15 Ni 0.8467 0.8467 0.3420
Pd1 Pd 0.3938 0.3938 0.3938
Pd2 Pd 0.6062 0.6062 0.6062
```

=====

Record 10
First-principles (PBE) data for NdNi2Pd after structural relaxation, as listed in Alexandria via LeMat-Bulk.

Fermi-level density of states   15.72 states/eV/cell
Calculated volume   73 Å³/f.u.
Formation energy from the elements   -7.716 kcal/mol of atoms

```
data_NdNi2Pd
_cell_length_a 4.2921
_cell_length_b 4.2921
_cell_length_c 13.7647
_cell_angle_alpha 90.00
_cell_angle_beta 90.00
_cell_angle_gamma 120.00
_space_group_name_H-M_alt 'P 1'
_space_group_IT_number 1
loop_
_space_group_symop_operation_xyz
'x,y,z'
loop_
_atom_site_label
_atom_site_type_symbol
_atom_site_fract_x
_atom_site_fract_y
_atom_site_fract_z
Nd1 Nd 0.0000 0.0000 0.0000
Nd2 Nd 0.3333 0.6667 0.6667
Nd3 Nd 0.6667 0.3333 0.3333
Ni1 Ni 0.0000 0.0000 0.1956
Ni2 Ni 0.0000 0.0000 0.8044
Ni3 Ni 0.3333 0.6667 0.4711
Ni4 Ni 0.3333 0.6667 0.8623
Ni5 Ni 0.6667 0.3333 0.1377
Ni6 Ni 0.6667 0.3333 0.5289
Pd1 Pd 0.0000 0.0000 0.5000
Pd2 Pd 0.3333 0.6667 0.1667
Pd3 Pd 0.6667 0.3333 0.8333
```

=====

Record 11
First-principles (PBE) data for Nd2Ni2Pd after structural relaxation, as listed in Alexandria via LeMat-Bulk.

Fermi-level density of states   11.11 states/eV/cell
Calculated volume   99 Å³/f.u.
Formation energy from the elements   -10.601 kcal/mol of atoms

```
data_Nd2Ni2Pd
_cell_length_a 4.4672
_cell_length_b 5.3057
_cell_length_c 8.3957
_cell_angle_alpha 90.00
_cell_angle_beta 90.00
_cell_angle_gamma 90.00
_space_group_name_H-M_alt 'P 1'
_space_group_IT_number 1
loop_
_space_group_symop_operation_xyz
'x,y,z'
loop_
_atom_site_label
_atom_site_type_symbol
_atom_site_fract_x
_atom_site_fract_y
_atom_site_fract_z
Nd1 Nd 0.0000 0.0000 0.2021
Nd2 Nd 0.0000 0.0000 0.7979
Nd3 Nd 0.5000 0.5000 0.2979
Nd4 Nd 0.5000 0.5000 0.7021
Ni1 Ni 0.0000 0.2706 0.5000
Ni2 Ni 0.0000 0.7294 0.5000
Ni3 Ni 0.5000 0.2294 0.0000
Ni4 Ni 0.5000 0.7706 0.0000
Pd1 Pd 0.0000 0.5000 0.0000
Pd2 Pd 0.5000 0.0000 0.5000
```

=====

Record 12
First-principles (PBE) data for Nd2NiPd after structural relaxation, as listed in Alexandria via LeMat-Bulk.

Fermi-level density of states   8.67 states/eV/cell
Calculated volume   106 Å³/f.u.
Formation energy from the elements   1.293 kcal/mol of atoms

```
data_Nd2NiPd
_cell_length_a 3.6953
_cell_length_b 3.6953
_cell_length_c 26.9056
_cell_angle_alpha 90.00
_cell_angle_beta 90.00
_cell_angle_gamma 120.00
_space_group_name_H-M_alt 'P 1'
_space_group_IT_number 1
loop_
_space_group_symop_operation_xyz
'x,y,z'
loop_
_atom_site_label
_atom_site_type_symbol
_atom_site_fract_x
_atom_site_fract_y
_atom_site_fract_z
Nd1 Nd 0.0000 0.0000 0.1008
Nd2 Nd 0.0000 0.0000 0.8992
Nd3 Nd 0.3333 0.6667 0.5659
Nd4 Nd 0.3333 0.6667 0.7674
Nd5 Nd 0.6667 0.3333 0.2326
Nd6 Nd 0.6667 0.3333 0.4341
Ni1 Ni 0.0000 0.0000 0.5000
Ni2 Ni 0.3333 0.6667 0.1667
Ni3 Ni 0.6667 0.3333 0.8333
Pd1 Pd 0.0000 0.0000 0.0000
Pd2 Pd 0.3333 0.6667 0.6667
Pd3 Pd 0.6667 0.3333 0.3333
```

=====

What did the third record say?
First-principles (PBE) data for Nd6Ni2Pd after structural relaxation, as listed in Alexandria via LeMat-Bulk.

Fermi-level density of states   15.87 states/eV/cell
Calculated volume   241 Å³/f.u.
Formation energy from the elements   -7.042 kcal/mol of atoms

```
data_Nd6Ni2Pd
_cell_length_a 8.5655
_cell_length_b 8.5655
_cell_length_c 8.5655
_cell_angle_alpha 113.97
_cell_angle_beta 107.97
_cell_angle_gamma 106.57
_space_group_name_H-M_alt 'P 1'
_space_group_IT_number 1
loop_
_space_group_symop_operation_xyz
'x,y,z'
loop_
_atom_site_label
_atom_site_type_symbol
_atom_site_fract_x
_atom_site_fract_y
_atom_site_fract_z
Nd1 Nd 0.0143 0.2131 0.8013
Nd2 Nd 0.1774 0.2998 0.4772
Nd3 Nd 0.1774 0.7002 0.8777
Nd4 Nd 0.3296 0.0374 0.7078
Nd5 Nd 0.3296 0.6218 0.2922
Nd6 Nd 0.4118 0.2131 0.1987
Nd7 Nd 0.5882 0.7869 0.8013
Nd8 Nd 0.6704 0.3782 0.7078
Nd9 Nd 0.6704 0.9626 0.2922
Nd10 Nd 0.8226 0.2998 0.1223
Nd11 Nd 0.8226 0.7002 0.5228
Nd12 Nd 0.9857 0.7869 0.1987
Ni1 Ni 0.1302 0.6302 0.5000
Ni2 Ni 0.3689 0.0000 0.3689
Ni3 Ni 0.6311 0.0000 0.6311
Ni4 Ni 0.8698 0.3698 0.5000
Pd1 Pd 0.0000 0.0000 0.0000
Pd2 Pd 0.5000 0.5000 0.0000
```

=====

formation energy from the elements of number 10 (NdNi2Pd)?
-7.716 kcal/mol of atoms

=====

Look up the formation energy from the elements of the eighth one.
-11.611 kcal/mol of atoms

=====

What is the formation energy from the elements in the second record?
-6.935 kcal/mol of atoms